No. 1
The following is a PBE calculation of an optimized crystal structure of EuRh6, from Alexandria.

Cell lengths 5.878, 5.878, 5.878 Å; angles 109.47, 109.47, 109.47 degrees
Fractional coordinates of all 7 atoms:
Eu 0.000 0.000 0.000
Rh 0.250 0.500 0.750
Rh 0.250 0.750 0.500
Rh 0.500 0.250 0.750
Rh 0.500 0.750 0.250
Rh 0.750 0.250 0.500
Rh 0.750 0.500 0.250

Computed properties:
The value obtained for the volume is 22.336 Å³/atom. The formation energy from the elements comes out at 2.87 eV/f.u. The calculation puts the theoretical density at 8171 kg/m³.

***

No. 2
The following is a PBE calculation of an optimized crystal structure of Eu3Rh, from Alexandria.

Cell lengths 6.921, 6.921, 6.921 Å; angles 131.36, 61.04, 145.42 degrees
Fractional coordinates of all 4 atoms:
Eu 0.000 0.000 0.000
Eu 0.336 0.003 0.333
Eu 0.670 0.003 0.667
Rh 0.003 0.503 0.500

Computed properties:
The value obtained for the volume is 34.949 Å³/atom. The formation energy from the elements comes out at -1.11 eV/f.u. The energy relative to the lowest polymorph listed for this composition is 0.021 eV/atom. The calculation puts the theoretical density at 6637 kg/m³.

***

No. 3
The following is a PBE calculation of an optimized crystal structure of EuRh5, from Alexandria.

Cell lengths 6.442, 6.442, 3.966 Å; angles 90.00, 90.00, 143.89 degrees
Fractional coordinates of all 6 atoms:
Eu 0.000 0.000 0.000
Rh 0.178 0.822 0.500
Rh 0.324 0.676 0.000
Rh 0.500 0.500 0.500
Rh 0.676 0.324 0.000
Rh 0.822 0.178 0.500

Computed properties:
The value obtained for the volume is 16.162 Å³/atom. The formation energy from the elements comes out at -0.05 eV/f.u. The calculation puts the theoretical density at 11413 kg/m³.

***

No. 4
The following is a PBE calculation of an optimized crystal structure of Eu3Rh, from Alexandria.

Cell lengths 7.735, 9.827, 6.595 Å; angles 90.00, 90.00, 90.00 degrees
Fractional coordinates of all 16 atoms:
Eu 0.040 0.250 0.138
Eu 0.172 0.066 0.662
Eu 0.172 0.434 0.662
Eu 0.328 0.566 0.162
Eu 0.328 0.934 0.162
Eu 0.460 0.750 0.638
Eu 0.540 0.250 0.362
Eu 0.672 0.066 0.838
Eu 0.672 0.434 0.838
Eu 0.828 0.566 0.338
Eu 0.828 0.934 0.338
Eu 0.960 0.750 0.862
Rh 0.119 0.750 0.451
Rh 0.381 0.250 0.951
Rh 0.619 0.750 0.049
Rh 0.881 0.250 0.549

Computed properties:
The value obtained for the volume is 31.330 Å³/atom. The formation energy from the elements comes out at -1.19 eV/f.u. The energy relative to the lowest polymorph listed for this composition is 0.000 eV/atom. The calculation puts the theoretical density at 7404 kg/m³.

***

No. 5
The following is a PBE calculation of an optimized crystal structure of SmEuRuRh, from Alexandria.

Cell lengths 4.926, 4.926, 4.926 Å; angles 60.00, 60.00, 60.00 degrees
Fractional coordinates of all 4 atoms:
Sm 0.000 0.000 0.000
Eu 0.500 0.500 0.500
Ru 0.250 0.250 0.250
Rh 0.750 0.750 0.750

Computed properties:
The value obtained for the volume is 21.136 Å³/atom. The formation energy from the elements comes out at -0.82 eV/f.u. The calculation puts the theoretical density at 9944 kg/m³.

***

No. 6
The following is a PBE calculation of an optimized crystal structure of TbEuRuRh, from Alexandria.

Cell lengths 4.884, 4.884, 4.884 Å; angles 60.00, 60.00, 60.00 degrees
Fractional coordinates of all 4 atoms:
Tb 0.000 0.000 0.000
Eu 0.500 0.500 0.500
Ru 0.250 0.250 0.250
Rh 0.750 0.750 0.750

Computed properties:
The value obtained for the volume is 20.598 Å³/atom. The formation energy from the elements comes out at -1.03 eV/f.u. The calculation puts the theoretical density at 10377 kg/m³.

***

No. 7
The following is a PBE calculation of an optimized crystal structure of EuThRuRh, from Alexandria.

Cell lengths 4.975, 4.975, 4.975 Å; angles 60.00, 60.00, 60.00 degrees
Fractional coordinates of all 4 atoms:
Eu 0.000 0.000 0.000
Th 0.500 0.500 0.500
Ru 0.250 0.250 0.250
Rh 0.750 0.750 0.750

Computed properties:
The value obtained for the volume is 21.773 Å³/atom. The formation energy from the elements comes out at -1.45 eV/f.u. The calculation puts the theoretical density at 11210 kg/m³.

***

No. 8
The following is a PBE calculation of an optimized crystal structure of EuTmRuRh, from Alexandria.

Cell lengths 4.839, 4.839, 4.839 Å; angles 60.00, 60.00, 60.00 degrees
Fractional coordinates of all 4 atoms:
Eu 0.000 0.000 0.000
Tm 0.500 0.500 0.500
Ru 0.250 0.250 0.250
Rh 0.750 0.750 0.750

Computed properties:
The value obtained for the volume is 20.036 Å³/atom. The formation energy from the elements comes out at -1.23 eV/f.u. The calculation puts the theoretical density at 10875 kg/m³.

***

no.,total energy (eV/f.u.)
1,-51.51
2,-39.28
3,-47.08
4,-39.37
5,-32.44
6,-32.57
7,-35.77
8,-32.60